(1)
# SrReMo2 PBE-GGA relaxed
# Magnetic moment   0.24 μB per formula unit
# E above lowest polymorph   2.073 eV/f.u.
# DOS(E_F)   1.3121 states/eV per atom
# Formation energy   461 kJ/mol of formula units
# Calculated density   10.59 g cm⁻³
data_SrReMo2
_chemical_formula_sum 'Sr1 Re1 Mo2'
_symmetry_space_group_name_H-M 'P m m m'
_symmetry_Int_Tables_number 47
_cell_length_a 3.1578
_cell_length_b 4.7271
_cell_length_c 4.8924
_cell_angle_alpha 90.00
_cell_angle_beta 90.00
_cell_angle_gamma 90.00
loop_
_symmetry_equiv_pos_as_xyz
'x,y,z'
'-x,-y,-z'
'-x,-y,z'
'x,y,-z'
'x,-y,-z'
'-x,y,z'
'-x,y,-z'
'x,-y,z'
loop_
_atom_site_label
_atom_site_fract_x
_atom_site_fract_y
_atom_site_fract_z
Sr1 0.0000 0.0000 0.0000
Re1 0.5000 0.0000 0.5000
Mo1 0.0000 0.5000 0.5000
Mo2 0.5000 0.5000 0.0000

=====

(2)
# CsK2Pb2Br7 PBE-GGA relaxed
# Magnetic moment   0.00 μB per formula unit
# Formation energy without anion corrections   -1.3339 eV/atom
# DOS(E_F)   0.0000 states/eV per atom
# Calculated density   3.88 g cm⁻³
data_CsK2Pb2Br7
_chemical_formula_sum 'Cs2 K4 Pb4 Br14'
_symmetry_space_group_name_H-M 'I m m 2'
_symmetry_Int_Tables_number 44
_cell_length_a 6.1553
_cell_length_b 25.6159
_cell_length_c 6.4346
_cell_angle_alpha 90.00
_cell_angle_beta 90.00
_cell_angle_gamma 90.00
loop_
_symmetry_equiv_pos_as_xyz
'x,y,z'
'-x,-y,z'
'-x,y,z'
'x,-y,z'
'x+1/2,y+1/2,z+1/2'
'-x+1/2,-y+1/2,z+1/2'
'-x+1/2,y+1/2,z+1/2'
'x+1/2,-y+1/2,z+1/2'
loop_
_atom_site_label
_atom_site_fract_x
_atom_site_fract_y
_atom_site_fract_z
Cs1 0.0000 0.0000 0.0000
K1 0.0000 0.2603 0.4265
Pb1 0.0000 0.3860 0.9436
Br1 0.0000 0.1184 0.4081
Br2 0.0000 0.2672 0.9268
Br3 0.0000 0.3921 0.3908
Br4 0.0000 0.5000 0.8590

=====

(3)
# Ho2TlSn PBE-GGA relaxed
# Magnetic moment   0.00 μB per formula unit
# DOS(E_F)   0.7597 states/eV per atom
# Formation energy   -149 kJ/mol of formula units
# Calculated density   9.28 g cm⁻³
data_Ho2TlSn
_chemical_formula_sum 'Ho8 Tl4 Sn4'
_symmetry_space_group_name_H-M 'P n m a'
_symmetry_Int_Tables_number 62
_cell_length_a 8.7773
_cell_length_b 3.6262
_cell_length_c 14.6841
_cell_angle_alpha 90.00
_cell_angle_beta 90.00
_cell_angle_gamma 90.00
loop_
_symmetry_equiv_pos_as_xyz
'x,y,z'
'-x,-y,-z'
'-x+1/2,-y,z+1/2'
'x+1/2,y,-z+1/2'
'x+1/2,-y+1/2,-z+1/2'
'-x+1/2,y+1/2,z+1/2'
'-x,y+1/2,-z'
'x,-y+1/2,z'
loop_
_atom_site_label
_atom_site_fract_x
_atom_site_fract_y
_atom_site_fract_z
Ho1 0.1994 0.2500 0.0017
Ho2 0.2070 0.7500 0.7600
Tl1 0.0277 0.2500 0.4052
Sn1 0.0471 0.7500 0.1521

=====

(4)
# LaCI2O PBE-GGA relaxed
# Magnetic moment   1.25 μB per formula unit
# E above lowest polymorph   0.000 eV/f.u.
# Formation energy without anion corrections   0.1773 eV/atom
# DOS(E_F)   1.2583 states/eV per atom
# Calculated density   3.83 g cm⁻³
data_LaCI2O
_chemical_formula_sum 'La1 C1 I2 O1'
_symmetry_space_group_name_H-M 'P 4/m m m'
_symmetry_Int_Tables_number 123
_symmetry_space_group_name_Hall '-P 4 2'
_cell_length_a 6.5332
_cell_length_b 6.5332
_cell_length_c 4.2731
_cell_angle_alpha 90.00
_cell_angle_beta 90.00
_cell_angle_gamma 90.00
loop_
_atom_site_label
_atom_site_fract_x
_atom_site_fract_y
_atom_site_fract_z
La1 0.0000 0.0000 0.0000
C1 0.5000 0.5000 0.5000
I1 0.0000 0.5000 0.0000
O1 0.0000 0.0000 0.5000